1.
Entry from Alexandria: crystalline Nd8PRh3Cl4 at its relaxed geometry (PBE).

calculated total energy = -5.78 eV/atom
formation energy (no corrections) = -1.217 eV per atom

Cell lengths 8.2860, 8.2860, 22.1415 Å; angles 90.00, 90.00, 120.00 degrees
Space group R-3m (No. 166, hexagonal axes)
One atom of each set of equivalent atoms:
Nd1 0.0000 0.0000 0.2360 [6 per cell]
Nd2 0.0072 0.5036 0.7642 [18 per cell]
P1 0.0000 0.0000 0.5000 [3 per cell]
Rh1 0.0000 0.5000 0.5000 [9 per cell]
Cl1 0.0000 0.0000 0.0000 [3 per cell]
Cl2 0.0000 0.5000 0.0000 [9 per cell]



2.
Entry from Alexandria: crystalline NaTl2SbO4 at its relaxed geometry (PBE).

calculated total energy = -4.73 eV/atom
formation energy (no corrections) = -0.980 eV per atom

Cell lengths 6.147, 12.159, 20.247 Å; angles 90.00, 90.00, 90.00 degrees
Space group Fddd (No. 70, origin choice 2)
One atom of each set of equivalent atoms:
Na1 0.125 0.125 0.125 [8 per cell]
Tl1 0.125 0.125 0.323 [16 per cell]
Sb1 0.125 0.125 0.625 [8 per cell]
O1 0.079 0.273 0.837 [32 per cell]



3.
Entry from Alexandria: crystalline LaSm2Be at its relaxed geometry (PBE).

energy of formation from the pure elements = 0.100 eV per atom
calculated total energy = -4.42 eV/atom

Cell lengths 3.555, 3.555, 8.921 Å; angles 90.00, 90.00, 90.00 degrees
Space group P4/mmm (No. 123)
One atom of each set of equivalent atoms:
La1 0.000 0.000 0.000 [1 per cell]
Sm1 0.500 0.500 0.315 [2 per cell]
Be1 0.000 0.000 0.500 [1 per cell]



4.
Entry from Alexandria: crystalline SrNiTe at its relaxed geometry (PBE).

calculated total energy = -4.30 eV/atom
formation energy (no corrections) = -0.767 eV per atom

Cell lengths 9.353, 4.276, 8.077 Å; angles 90.00, 90.00, 90.00 degrees
Space group Pnma (No. 62)
One atom of each set of equivalent atoms:
Sr1 0.224 0.250 0.072 [4 per cell]
Ni1 0.036 0.250 0.424 [4 per cell]
Te1 0.002 0.250 0.742 [4 per cell]



5.
Entry from Alexandria: crystalline TiAl5Ni6 at its relaxed geometry (PBE).

energy of formation from the pure elements = -0.625 eV per atom
calculated total energy = -5.73 eV/atom

Cell lengths 4.097, 5.881, 12.313 Å; angles 90.00, 90.00, 90.00 degrees
Space group Immm (No. 71)
One atom of each set of equivalent atoms:
Ti1 0.000 0.000 0.000 [2 per cell]
Al1 0.000 0.000 0.333 [4 per cell]
Al2 0.000 0.500 0.000 [2 per cell]
Al3 0.000 0.500 0.333 [4 per cell]
Ni1 0.000 0.250 0.500 [4 per cell]
Ni2 0.000 0.251 0.166 [8 per cell]



6.
Entry from Alexandria: crystalline LiCa2Cd3 at its relaxed geometry (PBE).

energy of formation from the pure elements = -0.292 eV per atom
calculated total energy = -1.74 eV/atom

Cell lengths 6.0595, 6.0595, 9.5765 Å; angles 90.00, 90.00, 120.00 degrees
Space group P6_3/mmc (No. 194)
One atom of each set of equivalent atoms:
Li1 0.0000 0.0000 0.0000 [2 per cell]
Ca1 0.3333 0.6667 0.0628 [4 per cell]
Cd1 0.1669 0.3339 0.7500 [6 per cell]



7.
Entry from Alexandria: crystalline Ho2HgH3 at its relaxed geometry (PBE).

calculated total energy = -3.84 eV/atom

Cell lengths 12.239, 3.649, 8.374 Å; angles 90.00, 110.54, 90.00 degrees
Space group C2/m (No. 12)
One atom of each set of equivalent atoms:
Ho1 0.021 0.000 0.217 [4 per cell]
Ho2 0.166 0.500 0.612 [4 per cell]
Hg1 0.170 0.500 0.056 [4 per cell]
H1 0.017 0.500 0.363 [4 per cell]
H2 0.103 0.000 0.667 [4 per cell]
H3 0.174 0.000 0.453 [4 per cell]



8.
Entry from Alexandria: crystalline Ca2Ga2Au3 at its relaxed geometry (PBE).

energy of formation from the pure elements = -0.600 eV per atom
calculated total energy = -3.44 eV/atom
energy above the lowest structure with this stoichiometry = 61 meV per atom

Cell lengths 10.918, 4.147, 7.320 Å; angles 90.00, 115.04, 90.00 degrees
Space group C2/m (No. 12)
One atom of each set of equivalent atoms:
Ca1 0.129 0.000 0.266 [4 per cell]
Ga1 0.156 0.000 0.724 [4 per cell]
Au1 0.000 0.500 0.500 [2 per cell]
Au2 0.116 0.500 0.938 [4 per cell]



9.
Entry from Alexandria: crystalline Na2Li2Sc at its relaxed geometry (PBE).

energy of formation from the pure elements = 0.286 eV per atom
calculated total energy = -2.27 eV/atom
energy above the lowest structure with this stoichiometry = 7 meV per atom

Cell lengths 8.978, 8.978, 3.222 Å; angles 90.00, 90.00, 90.00 degrees
Space group P4/mbm (No. 127)
One atom of each set of equivalent atoms:
Na1 0.170 0.330 0.000 [4 per cell]
Li1 0.131 0.631 0.500 [4 per cell]
Sc1 0.000 0.000 0.500 [2 per cell]



10.
Entry from Alexandria: crystalline CaCe2Ga2Cu2 at its relaxed geometry (PBE).

energy of formation from the pure elements = -0.355 eV per atom
calculated total energy = -4.37 eV/atom

Cell lengths 4.3252, 4.3252, 27.2121 Å; angles 90.00, 90.00, 120.00 degrees
Space group R-3m (No. 166, hexagonal axes)
One atom of each set of equivalent atoms:
Ca1 0.0000 0.0000 0.0000 [3 per cell]
Ce1 0.0000 0.0000 0.1398 [6 per cell]
Ga1 0.0000 0.0000 0.2588 [6 per cell]
Cu1 0.0000 0.0000 0.4106 [6 per cell]



11.
Entry from Alexandria: crystalline TbZrCuRu at its relaxed geometry (PBE).

energy of formation from the pure elements = -0.283 eV per atom
calculated total energy = -6.92 eV/atom

Cell lengths 6.730, 6.730, 6.730 Å; angles 90.00, 90.00, 90.00 degrees
Space group F-43m (No. 216)
One atom of each set of equivalent atoms:
Tb1 0.000 0.000 0.000 [4 per cell]
Zr1 0.000 0.000 0.500 [4 per cell]
Cu1 0.250 0.250 0.750 [4 per cell]
Ru1 0.250 0.250 0.250 [4 per cell]



12.
Entry from Alexandria: crystalline ZrNpTi2O8 at its relaxed geometry (PBE).

calculated total energy = -9.47 eV/atom
formation energy (no corrections) = -3.055 eV per atom

Cell lengths 5.098, 5.098, 10.817 Å; angles 90.00, 90.00, 90.00 degrees
Space group I-4 (No. 82)
One atom of each set of equivalent atoms:
Zr1 0.000 0.000 0.000 [2 per cell]
Np1 0.000 0.500 0.250 [2 per cell]
Ti1 0.000 0.000 0.500 [2 per cell]
Ti2 0.000 0.500 0.750 [2 per cell]
O1 0.169 0.762 0.840 [8 per cell]
O2 0.185 0.261 0.417 [8 per cell]



13.
Entry from Alexandria: crystalline Al2PbSe at its relaxed geometry (PBE).

calculated total energy = -3.61 eV/atom
formation energy (no corrections) = 0.062 eV per atom
energy above the lowest structure with this stoichiometry = 203 meV per atom

Cell lengths 3.466, 5.322, 9.806 Å; angles 90.00, 90.00, 90.00 degrees
Space group Immm (No. 71)
One atom of each set of equivalent atoms:
Al1 0.000 0.000 0.218 [4 per cell]
Pb1 0.000 0.500 0.000 [2 per cell]
Se1 0.000 0.500 0.500 [2 per cell]



14.
Entry from Alexandria: crystalline BaSi2Pd4 at its relaxed geometry (PBE).

calculated total energy = -5.37 eV/atom
formation energy (no corrections) = -0.580 eV per atom
energy above the lowest structure with this stoichiometry = 0 meV per atom

Cell lengths 4.350, 14.664, 4.342 Å; angles 90.00, 90.00, 90.00 degrees
Space group Cmmm (No. 65)
One atom of each set of equivalent atoms:
Ba1 0.000 0.000 0.000 [2 per cell]
Si1 0.000 0.381 0.500 [4 per cell]
Pd1 0.000 0.185 0.500 [4 per cell]
Pd2 0.000 0.314 0.000 [4 per cell]



15.
Entry from Alexandria: crystalline TbPrHo2Se4 at its relaxed geometry (PBE).

calculated total energy = -5.82 eV/atom
formation energy (no corrections) = -1.762 eV per atom

Cell lengths 7.108, 4.051, 7.248 Å; angles 90.00, 108.63, 90.00 degrees
Space group P2/m (No. 10)
One atom of each set of equivalent atoms:
Tb1 0.000 0.000 0.000 [1 per cell]
Pr1 0.500 0.500 0.000 [1 per cell]
Ho1 0.000 0.500 0.500 [1 per cell]
Ho2 0.500 0.000 0.500 [1 per cell]
Se1 0.239 0.000 0.736 [2 per cell]
Se2 0.247 0.500 0.259 [2 per cell]



16.
Entry from Alexandria: crystalline Th4Al2Cd5 at its relaxed geometry (PBE).

energy of formation from the pure elements = -0.154 eV per atom
calculated total energy = -3.95 eV/atom

Cell lengths 8.155, 3.406, 10.337 Å; angles 90.00, 94.12, 90.00 degrees
Space group P2/m (No. 10)
One atom of each set of equivalent atoms:
Th1 0.154 0.000 0.376 [2 per cell]
Th2 0.271 0.000 0.950 [2 per cell]
Al1 0.048 0.500 0.128 [2 per cell]
Cd1 0.203 0.500 0.665 [2 per cell]
Cd2 0.439 0.500 0.210 [2 per cell]
Cd3 0.500 0.500 0.500 [1 per cell]



17.
Entry from Alexandria: crystalline Nb2GeI at its relaxed geometry (PBE).

calculated total energy = -5.92 eV/atom
formation energy (no corrections) = 0.661 eV per atom
energy above the lowest structure with this stoichiometry = 382 meV per atom

Cell lengths 4.224, 4.224, 19.083 Å; angles 90.00, 90.00, 90.00 degrees
Space group I-42d (No. 122)
One atom of each set of equivalent atoms:
Nb1 0.237 0.250 0.125 [8 per cell]
Ge1 0.000 0.000 0.000 [4 per cell]
I1 0.000 0.000 0.500 [4 per cell]